Entry 1:
Below is Th5Co2Au2 after structural relaxation, with properties calculated at the PBE level.

a b c (Å): 7.181 7.157 10.377
angles (deg): 110.17 110.24 90.00
Sites, in units of the cell vectors:
1 Th 0.223 0.653 0.961
2 Th 0.777 0.692 0.039
3 Th 0.238 0.153 0.961
4 Th 0.762 0.192 0.039
5 Th 0.277 0.093 0.315
6 Th 0.723 0.778 0.685
7 Th 0.539 0.593 0.315
8 Th 0.461 0.278 0.685
9 Th 0.030 0.877 0.500
10 Th 0.970 0.377 0.500
11 Co 0.000 0.931 0.000
12 Co 0.500 0.431 0.000
13 Co 0.318 0.495 0.500
14 Co 0.682 0.995 0.500
15 Au 0.098 0.530 0.242
16 Au 0.902 0.288 0.758
17 Au 0.644 0.030 0.242
18 Au 0.356 0.788 0.758

Computed properties:
E_form	-0.293	eV/atom
space-group type	No. 46
excess energy over the best structure of this formula in the dataset	0.099	eV per atom
electronic total energy	-6.722	eV/atom
spin magnetization	0.000	μB per formula unit
Fermi-level density of states	20.58	states/eV per cell



Entry 2:
Below is Cr2NiHg after structural relaxation, with properties calculated at the PBE level.

a b c (Å): 4.909 4.909 4.909
angles (deg): 137.10 136.93 62.42
Sites, in units of the cell vectors:
1 Cr 0.000 0.000 0.000
2 Cr 0.500 0.500 0.000
3 Hg 0.750 0.250 0.500
4 Ni 0.250 0.750 0.500

Computed properties:
E_form	0.519	eV/atom
space-group type	No. 71
electronic total energy	-5.814	eV/atom
spin magnetization	0.043	μB per formula unit
Fermi-level density of states	6.02	states/eV per cell



Entry 3:
Below is TlWSe2 after structural relaxation, with properties calculated at the PBE level.

a b c (Å): 3.404 3.406 8.313
angles (deg): 89.99 90.00 90.00
Sites, in units of the cell vectors:
1 Se 0.000 0.750 0.970
2 Se 0.000 0.750 0.530
3 Tl 0.500 0.250 0.250
4 W 0.500 0.750 0.750

Computed properties:
energy relative to the elements, uncorrected	0.179	eV per atom
space-group type	No. 47
excess energy over the best structure of this formula in the dataset	0.382	eV per atom
electronic total energy	-5.393	eV/atom
spin magnetization	0.000	μB per formula unit
Fermi-level density of states	2.73	states/eV per cell



Entry 4:
Below is Nd12Er3Tm after structural relaxation, with properties calculated at the PBE level.

a b c (Å): 5.143 5.143 20.510
angles (deg): 90.00 90.00 90.00
Sites, in units of the cell vectors:
1 Nd 0.500 0.500 0.000
2 Nd 0.500 0.500 0.250
3 Nd 0.500 0.500 0.500
4 Nd 0.500 0.500 0.750
5 Nd 0.500 0.000 0.125
6 Nd 0.500 0.000 0.375
7 Nd 0.500 0.000 0.625
8 Nd 0.500 0.000 0.875
9 Nd 0.000 0.500 0.125
10 Nd 0.000 0.500 0.375
11 Nd 0.000 0.500 0.625
12 Nd 0.000 0.500 0.875
13 Er 0.000 0.000 0.250
14 Er 0.000 0.000 0.500
15 Er 0.000 0.000 0.750
16 Tm 0.000 0.000 0.000

Computed properties:
E_form	0.013	eV/atom
space-group type	No. 123
electronic total energy	-4.698	eV/atom
spin magnetization	0.000	μB per formula unit
Fermi-level density of states	23.63	states/eV per cell



Entry 5:
Below is KTc after structural relaxation, with properties calculated at the PBE level.

a b c (Å): 6.667 6.667 6.667
angles (deg): 148.76 125.32 64.33
Sites, in units of the cell vectors:
1 K 0.646 0.896 0.250
2 K 0.354 0.104 0.750
3 Tc 0.061 0.311 0.250
4 Tc 0.939 0.689 0.750

Computed properties:
E_form	1.015	eV/atom
space-group type	No. 74
excess energy over the best structure of this formula in the dataset	0.259	eV per atom
electronic total energy	-4.717	eV/atom
spin magnetization	0.000	μB per formula unit
Fermi-level density of states	1.89	states/eV per cell



Entry 6:
Below is KAsPb after structural relaxation, with properties calculated at the PBE level.

a b c (Å): 10.149 8.830 6.948
angles (deg): 129.45 90.00 90.00
Sites, in units of the cell vectors:
1 K 0.000 0.809 0.619
2 K 0.000 0.191 0.381
3 K 0.500 0.309 0.619
4 K 0.500 0.691 0.381
5 As 0.873 0.717 0.000
6 As 0.373 0.783 0.000
7 As 0.127 0.283 0.000
8 As 0.627 0.217 0.000
9 Pb 0.646 0.885 0.000
10 Pb 0.854 0.385 0.000
11 Pb 0.146 0.615 0.000
12 Pb 0.354 0.115 0.000

Computed properties:
E_form	-0.085	eV/atom
space-group type	No. 64
electronic total energy	-3.237	eV/atom
spin magnetization	0.000	μB per formula unit
Fermi-level density of states	7.65	states/eV per cell